Compound: Pr4Dy2Ho3
Source: the Alexandria database
Functional: PBE
Structure: relaxed

The calculation puts the formation energy at 0.53 eV per formula unit. Its crystal system is trigonal. For the energy above the most stable polymorph in this dataset, the calculation gives 0.014 eV/atom.

The space group is P3m1 (No. 156) and the conventional cell measures 3.6230, 3.6230 and 26.8722 Å, with angles of 90.00, 90.00 and 120.00 degrees. The distinct sites, in fractional coordinates, are Pr at (0.0000, 0.0000, 0.0000), Pr at (0.0000, 0.0000, 0.2160), Pr at (0.3333, 0.6667, 0.3335), Pr at (0.3333, 0.6667, 0.5517), Dy at (0.0000, 0.0000, 0.6620), Dy at (0.0000, 0.0000, 0.8689), Ho at (0.0000, 0.0000, 0.4418), Ho at (0.3333, 0.6667, 0.1066) and Ho at (0.3333, 0.6667, 0.7665).